No. 1
# Ac3AlCu2Ni6

Ac3AlCu2Ni6 after structural relaxation (PBE, Alexandria via LeMat-Bulk).

```
Ac3AlCu2Ni6
1.0
5.606 0.000 0.000
-2.803 4.855 0.000
0.000 0.000 8.465
Ac Al Cu Ni
3 1 2 6
direct
0.000 0.000 0.000 Ac
0.333 0.667 0.654 Ac
0.667 0.333 0.346 Ac
0.000 0.000 0.500 Al
0.333 0.667 0.062 Cu
0.667 0.333 0.938 Cu
0.182 0.363 0.297 Ni
0.182 0.818 0.297 Ni
0.363 0.182 0.703 Ni
0.637 0.818 0.297 Ni
0.818 0.182 0.703 Ni
0.818 0.637 0.703 Ni
```

Computed properties:
Its space-group type is P-3m1 (164). The volume is 230.41 Å³/cell. Its formation energy is -0.16 eV/atom. Its density of states at the Fermi level is 5.81 states/eV/f.u.

---

No. 2
# InTe2AuF

InTe2AuF after structural relaxation (PBE, Alexandria via LeMat-Bulk).

```
InTe2AuF
1.0
5.454 0.000 0.000
0.000 5.454 0.000
0.000 0.000 5.455
In Te Au F
1 2 1 1
direct
0.000 0.000 0.000 In
0.000 0.500 0.500 Te
0.500 0.000 0.500 Te
0.000 0.000 0.500 Au
0.500 0.500 0.000 F
```

Computed properties:
Its space-group type is P4/mmm (123). The volume is 162.28 Å³/cell. The calculation puts the formation energy without anion corrections at 7.47 kJ/mol of atoms. Its density of states at the Fermi level is 9.48 states/eV/f.u.

---

No. 3
# PmEr2AlC

PmEr2AlC after structural relaxation (PBE, Alexandria via LeMat-Bulk).

```
PmEr2AlC
1.0
4.840 0.000 0.000
0.000 4.840 0.000
0.000 0.000 5.049
Pm Er Al C
1 2 1 1
direct
0.000 0.000 0.000 Pm
0.000 0.500 0.500 Er
0.500 0.000 0.500 Er
0.500 0.500 0.000 Al
0.000 0.000 0.500 C
```

Computed properties:
Its space-group type is P4/mmm (123). The volume is 118.28 Å³/cell. Its formation energy is -0.35 eV/atom. Its density of states at the Fermi level is 1.92 states/eV/f.u.

---

No. 4
# La11Sm4Ho9

La11Sm4Ho9 after structural relaxation (PBE, Alexandria via LeMat-Bulk).

```
La11Sm4Ho9
1.0
8.580 -12.967 0.000
8.580 12.967 0.000
0.000 0.000 3.735
La Sm Ho
11 4 9
direct
0.000 0.000 0.000 La
0.044 0.406 0.000 La
0.159 0.841 0.000 La
0.291 0.291 0.000 La
0.368 0.632 0.000 La
0.406 0.044 0.000 La
0.594 0.956 0.000 La
0.632 0.368 0.000 La
0.709 0.709 0.000 La
0.841 0.159 0.000 La
0.956 0.594 0.000 La
0.243 0.445 0.500 Sm
0.445 0.243 0.500 Sm
0.555 0.757 0.500 Sm
0.757 0.555 0.500 Sm
0.067 0.212 0.500 Ho
0.165 0.633 0.500 Ho
0.212 0.067 0.500 Ho
0.367 0.835 0.500 Ho
0.500 0.500 0.500 Ho
0.633 0.165 0.500 Ho
0.788 0.933 0.500 Ho
0.835 0.367 0.500 Ho
0.933 0.788 0.500 Ho
```

Computed properties:
Its space-group type is Cmmm (65). The volume is 831.05 Å³/cell. Its formation energy is 0.07 eV/atom. Its density of states at the Fermi level is 34.79 states/eV/f.u.

---

No. 5
# K16Cd12Pb

K16Cd12Pb after structural relaxation (PBE, Alexandria via LeMat-Bulk).

```
K16Cd12Pb
1.0
6.679 -8.830 0.000
6.679 8.830 0.000
-5.472 0.000 9.775
K Cd Pb
16 12 1
direct
0.000 0.000 0.000 K
0.010 0.638 0.988 K
0.050 0.050 0.606 K
0.318 0.690 0.282 K
0.321 0.903 0.624 K
0.327 0.327 0.291 K
0.328 0.662 0.875 K
0.341 0.341 0.668 K
0.638 0.010 0.988 K
0.662 0.328 0.875 K
0.667 0.881 0.256 K
0.690 0.318 0.282 K
0.704 0.960 0.656 K
0.881 0.667 0.256 K
0.903 0.321 0.624 K
0.960 0.704 0.656 K
0.006 0.186 0.330 Cd
0.143 0.507 0.464 Cd
0.154 0.336 0.955 Cd
0.186 0.006 0.330 Cd
0.336 0.154 0.955 Cd
0.346 0.991 0.136 Cd
0.467 0.644 0.606 Cd
0.480 0.480 0.088 Cd
0.507 0.143 0.464 Cd
0.623 0.623 0.412 Cd
0.644 0.467 0.606 Cd
0.991 0.346 0.136 Cd
0.673 0.673 0.890 Pb
```

Computed properties:
Its space-group type is Cm (8). The volume is 1152.85 Å³/cell. Its formation energy is -0.04 eV/atom. Its density of states at the Fermi level is 16.28 states/eV/f.u.

---

No. 6
# V2BiSb

V2BiSb after structural relaxation (PBE, Alexandria via LeMat-Bulk).

```
V2BiSb
1.0
0.000 3.357 3.357
3.357 0.000 3.357
3.357 3.357 0.000
V Bi Sb
2 1 1
direct
0.250 0.250 0.250 V
0.750 0.750 0.750 V
0.000 0.000 0.000 Bi
0.500 0.500 0.500 Sb
```

Computed properties:
Its space-group type is Fm-3m (225). The volume is 75.67 Å³/cell. The calculation puts the formation energy without anion corrections at 36.62 kJ/mol of atoms. Its density of states at the Fermi level is 4.72 states/eV/f.u.

---

No. 7
# Zr3TaN

Zr3TaN after structural relaxation (PBE, Alexandria via LeMat-Bulk).

```
Zr3TaN
1.0
5.088 0.000 0.000
0.000 5.088 0.000
0.000 0.000 5.088
Zr Ta N
3 1 1
direct
0.000 0.000 0.500 Zr
0.000 0.500 0.000 Zr
0.500 0.000 0.000 Zr
0.000 0.000 0.000 Ta
0.500 0.500 0.500 N
```

Computed properties:
Its space-group type is Pm-3m (221). The volume is 131.74 Å³/cell. The calculation puts the formation energy without anion corrections at 189.12 kJ/mol of atoms. Its density of states at the Fermi level is 8.18 states/eV/f.u.

---

No. 8
# SrPuPt2

SrPuPt2 after structural relaxation (PBE, Alexandria via LeMat-Bulk).

```
SrPuPt2
1.0
2.134 1.232 6.741
-2.134 1.232 6.741
0.000 -2.464 6.741
Sr Pu Pt
1 1 2
direct
0.000 0.000 0.000 Sr
0.500 0.500 0.500 Pu
0.234 0.234 0.234 Pt
0.766 0.766 0.766 Pt
```

Computed properties:
Its space-group type is R-3m (166). The volume is 106.36 Å³/cell. Its formation energy is -0.71 eV/atom. Its density of states at the Fermi level is 10.00 states/eV/f.u.

---

No. 9
# Dy6TlZn2

Dy6TlZn2 after structural relaxation (PBE, Alexandria via LeMat-Bulk).

```
Dy6TlZn2
1.0
-4.875 4.925 5.124
4.875 -4.925 5.124
4.875 4.925 -5.124
Dy Tl Zn
12 2 4
direct
0.028 0.817 0.212 Dy
0.241 0.533 0.293 Dy
0.241 0.948 0.707 Dy
0.275 0.316 0.591 Dy
0.275 0.684 0.958 Dy
0.395 0.183 0.212 Dy
0.605 0.817 0.788 Dy
0.725 0.316 0.042 Dy
0.725 0.684 0.409 Dy
0.759 0.052 0.293 Dy
0.759 0.467 0.707 Dy
0.972 0.183 0.788 Dy
0.000 0.500 0.500 Tl
0.500 0.000 0.500 Tl
0.000 0.136 0.136 Zn
0.000 0.864 0.864 Zn
0.376 0.376 0.000 Zn
0.624 0.624 0.000 Zn
```

Computed properties:
Its space-group type is Immm (71). The volume is 492.18 Å³/cell. Its formation energy is -0.22 eV/atom. Its density of states at the Fermi level is 8.66 states/eV/f.u.